--- a ---
Below is SmDySi2Pd after structural relaxation, with properties calculated at the PBE level.

Lattice parameters (Å, degrees): 5.6892 5.6892 10.3181 116.30 116.30 44.48
With the nearest neighbours (Å) after each atom.
Atoms (fractional coordinates):
Sm  0.0030  0.0030  0.3223  6 Si 3.00-3.13, 4 Pd 3.08-3.19
Sm  0.9970  0.9970  0.6777  6 Si 3.00-3.13, 4 Pd 3.08-3.19
Dy  0.1863  0.1863  0.1065  6 Si 3.00-3.10, 2 Pd 3.22
Dy  0.8137  0.8137  0.8935  6 Si 3.00-3.10, 2 Pd 3.22
Si  0.3649  0.3649  0.4364  1 Si 2.50, 3 Pd 2.51-2.74
Si  0.4824  0.4824  0.1108  1 Si 2.49, 1 Pd 2.59
Si  0.5176  0.5176  0.8892  1 Si 2.49, 1 Pd 2.59
Si  0.6351  0.6351  0.5636  1 Si 2.50, 3 Pd 2.51-2.74
Pd  0.2746  0.2746  0.6451  4 Si 2.51-2.74
Pd  0.7254  0.7254  0.3549  4 Si 2.51-2.74

SG = C2/m
volume = 205.5 Å³ per cell
crystal system = monoclinic

=====

--- b ---
Below is SmDySi2Pd after structural relaxation, with properties calculated at the PBE level.

Lattice parameters (Å, degrees): 5.7199 5.7199 10.2039 115.61 115.61 44.10
With the nearest neighbours (Å) after each atom.
Atoms (fractional coordinates):
Sm  0.1878  0.1878  0.1064  6 Si 3.00-3.12, 2 Pd 3.27
Sm  0.8122  0.8122  0.8936  6 Si 3.00-3.12, 2 Pd 3.27
Dy  0.0045  0.0045  0.3255  6 Si 2.97-3.08, 4 Pd 3.08-3.14
Dy  0.9955  0.9955  0.6745  6 Si 2.97-3.08, 4 Pd 3.08-3.14
Si  0.3684  0.3684  0.4361  1 Si 2.47, 3 Pd 2.52-2.67
Si  0.4866  0.4866  0.1170  1 Si 2.53, 1 Pd 2.63
Si  0.5134  0.5134  0.8830  1 Si 2.53, 1 Pd 2.63
Si  0.6316  0.6316  0.5639  1 Si 2.47, 3 Pd 2.52-2.67
Pd  0.2720  0.2720  0.6352  4 Si 2.52-2.67
Pd  0.7280  0.7280  0.3648  4 Si 2.52-2.67

SG = C2/m
volume = 205.5 Å³ per cell
crystal system = monoclinic

=====

Result of the stability comparison: a is the least stable of them.

=====

--- a ---
Below is DyTmSi2Pd after structural relaxation, with properties calculated at the PBE level.

Lattice parameters (Å, degrees): 5.6275 5.6275 10.0336 115.52 115.52 44.19
With the nearest neighbours (Å) after each atom.
Atoms (fractional coordinates):
Dy  0.1863  0.1863  0.1065  6 Si 2.94-3.04, 2 Pd 3.20
Dy  0.8137  0.8137  0.8935  6 Si 2.94-3.04, 2 Pd 3.20
Tm  0.0029  0.0029  0.3251  6 Si 2.92-3.02, 4 Pd 3.03-3.11
Tm  0.9971  0.9971  0.6749  6 Si 2.92-3.02, 4 Pd 3.03-3.11
Si  0.3681  0.3681  0.4348  1 Si 2.44, 3 Pd 2.49-2.64
Si  0.4813  0.4813  0.1153  1 Si 2.52, 1 Pd 2.59
Si  0.5187  0.5187  0.8847  1 Si 2.52, 1 Pd 2.59
Si  0.6319  0.6319  0.5652  1 Si 2.44, 3 Pd 2.49-2.64
Pd  0.2747  0.2747  0.6388  4 Si 2.49-2.64
Pd  0.7253  0.7253  0.3612  4 Si 2.49-2.64

SG = C2/m
volume = 196.1 Å³ per cell
crystal system = monoclinic

=====

--- b ---
Below is DyTmSi2Pd after structural relaxation, with properties calculated at the PBE level.

Lattice parameters (Å, degrees): 5.6088 5.6088 10.0781 115.88 115.88 44.50
With the nearest neighbours (Å) after each atom.
Atoms (fractional coordinates):
Dy  0.0013  0.0013  0.3222  6 Si 2.93-3.04, 4 Pd 3.04-3.14
Dy  0.9987  0.9987  0.6778  6 Si 2.93-3.04, 4 Pd 3.04-3.14
Tm  0.1854  0.1854  0.1059  6 Si 2.94-3.03, 2 Pd 3.18
Tm  0.8146  0.8146  0.8941  6 Si 2.94-3.03, 2 Pd 3.18
Si  0.3661  0.3661  0.4345  1 Si 2.45, 3 Pd 2.49-2.67
Si  0.4799  0.4799  0.1119  1 Si 2.48, 1 Pd 2.58
Si  0.5201  0.5201  0.8881  1 Si 2.48, 1 Pd 2.58
Si  0.6339  0.6339  0.5655  1 Si 2.45, 3 Pd 2.49-2.67
Pd  0.2757  0.2757  0.6429  4 Si 2.49-2.67
Pd  0.7243  0.7243  0.3571  4 Si 2.49-2.67

SG = C2/m
volume = 195.9 Å³ per cell
crystal system = monoclinic

=====

Result of the stability comparison: b is the least stable of them.

=====

--- a ---
Below is DyTlTe3Pd after structural relaxation, with properties calculated at the PBE level.

Lattice parameters (Å, degrees): 8.9442 4.2125 10.9099 90.00 112.19 90.00
With the nearest neighbours (Å) after each atom.
Atoms (fractional coordinates):
Dy  0.1946  0.2500  0.1513  6 Te 3.03-3.18, 2 Pd 3.31
Dy  0.8054  0.7500  0.8487  6 Te 3.03-3.18, 2 Pd 3.31
Tl  0.2383  0.7500  0.7032  6 Te 3.40-3.50
Tl  0.7617  0.2500  0.2968  6 Te 3.40-3.50
Te  0.0603  0.2500  0.8516  3 Dy 3.03-3.10
Te  0.2772  0.2500  0.4611  3 Pd 2.67-2.68
Te  0.4455  0.7500  0.1540  1 Pd 2.69
Te  0.5545  0.2500  0.8460  1 Pd 2.69
Te  0.7228  0.7500  0.5389  3 Pd 2.67-2.68
Te  0.9397  0.7500  0.1484  3 Dy 3.03-3.10
Pd  0.4068  0.7500  0.3871  4 Te 2.67-2.69
Pd  0.5932  0.2500  0.6129  4 Te 2.67-2.69

SG = P2_1/m
volume = 380.6 Å³ per cell
crystal system = monoclinic

=====

--- b ---
Below is DyTlTe3Pd after structural relaxation, with properties calculated at the PBE level.

Lattice parameters (Å, degrees): 8.6455 8.6455 10.4635 90.00 90.00 151.53
With the nearest neighbours (Å) after each atom.
Atoms (fractional coordinates):
Dy  0.0000  0.0000  0.0000  6 Te 3.05-3.09, 4 Pd 3.37
Dy  0.0000  0.0000  0.5000  6 Te 3.05-3.09, 4 Pd 3.37
Tl  0.2417  0.7583  0.7500  6 Te 3.41-3.48
Tl  0.7583  0.2417  0.2500  6 Te 3.41-3.48
Te  0.0937  0.9063  0.2500  2 Pd 2.74, 2 Dy 3.05
Te  0.3747  0.6253  0.0757  1 Pd 2.67
Te  0.3747  0.6253  0.4243  1 Pd 2.67
Te  0.6253  0.3747  0.5757  1 Pd 2.67
Te  0.6253  0.3747  0.9243  1 Pd 2.67
Te  0.9063  0.0937  0.7500  2 Pd 2.74, 2 Dy 3.05
Pd  0.4908  0.5092  0.2500  4 Te 2.67-2.74
Pd  0.5092  0.4908  0.7500  4 Te 2.67-2.74

SG = Cmcm
volume = 372.8 Å³ per cell
crystal system = orthorhombic

=====

Result of the stability comparison: a is the least stable of them.

=====

--- a ---
Below is PmDy2 after structural relaxation, with properties calculated at the PBE level.

Lattice parameters (Å, degrees): 8.8800 8.8800 8.8800 60.00 60.00 60.00
With the nearest neighbours (Å) after each atom.
Atoms (fractional coordinates):
Pm  0.1250  0.1250  0.1250  4 Dy 2.72
Pm  0.8750  0.8750  0.8750  4 Dy 2.72
Dy  0.0000  0.0000  0.0000  2 Pm 2.72
Dy  0.0000  0.0000  0.5000  2 Pm 2.72
Dy  0.0000  0.5000  0.0000  2 Pm 2.72
Dy  0.5000  0.0000  0.0000  2 Pm 2.72

SG = Fd-3m
volume = 495.1 Å³ per cell
crystal system = cubic

=====

--- b ---
Below is PmDy2 after structural relaxation, with properties calculated at the PBE level.

Lattice parameters (Å, degrees): 6.5871 6.5871 6.5871 60.00 60.00 60.00
With the nearest neighbours (Å) after each atom.
Atoms (fractional coordinates):
Pm  0.1250  0.1250  0.1250  12 Dy 3.86, 4 Pm 4.03
Pm  0.8750  0.8750  0.8750  12 Dy 3.86, 4 Pm 4.03
Dy  0.0000  0.5000  0.5000  6 Dy 3.29
Dy  0.5000  0.0000  0.5000  6 Dy 3.29
Dy  0.5000  0.5000  0.0000  6 Dy 3.29
Dy  0.5000  0.5000  0.5000  6 Dy 3.29

SG = Fd-3m
volume = 202.1 Å³ per cell
crystal system = cubic

=====

Result of the stability comparison: a is the least stable of them.

=====

--- a ---
Below is PmDyS2 after structural relaxation, with properties calculated at the PBE level.

Lattice parameters (Å, degrees): 3.9676 3.9676 5.6127 90.00 90.00 90.00
With the nearest neighbours (Å) after each atom.
Atoms (fractional coordinates):
Pm  0.0000  0.0000  0.0000  6 S 2.81
Dy  0.5000  0.5000  0.5000  6 S 2.81
S  0.0000  0.0000  0.5000  4 Dy 2.81, 2 Pm 2.81
S  0.5000  0.5000  0.0000  4 Pm 2.81, 2 Dy 2.81

SG = P4/mmm
volume = 88.4 Å³ per cell
crystal system = tetragonal

=====

--- b ---
Below is PmDyS2 after structural relaxation, with properties calculated at the PBE level.

Lattice parameters (Å, degrees): 6.8407 3.9614 6.8983 90.00 109.41 90.00
With the nearest neighbours (Å) after each atom.
Atoms (fractional coordinates):
Pm  0.0000  0.0000  0.0000  6 S 2.85
Pm  0.5000  0.5000  0.0000  6 S 2.85
Dy  0.0000  0.5000  0.5000  6 S 2.76
Dy  0.5000  0.0000  0.5000  6 S 2.76
S  0.2459  0.0000  0.7375  3 Dy 2.76, 3 Pm 2.85
S  0.2541  0.5000  0.2625  3 Dy 2.76, 3 Pm 2.85
S  0.7459  0.5000  0.7375  3 Dy 2.76, 3 Pm 2.85
S  0.7541  0.0000  0.2625  3 Dy 2.76, 3 Pm 2.85

SG = C2/m
volume = 176.3 Å³ per cell
crystal system = monoclinic

=====

Result of the stability comparison: a is the least stable of them.

=====

--- a ---
Below is Pr3Dy3Te2Pt after structural relaxation, with properties calculated at the PBE level.

Lattice parameters (Å, degrees): 8.5386 8.5386 4.0773 90.00 90.00 120.00
With the nearest neighbours (Å) after each atom.
Atoms (fractional coordinates):
Pr  0.0000  0.4062  0.0000  4 Te 3.30, 1 Pt 3.47, 6 Dy 3.64-3.65
Pr  0.4062  0.0000  0.0000  4 Te 3.30, 1 Pt 3.47, 6 Dy 3.64-3.65
Pr  0.5938  0.5938  0.0000  4 Te 3.30, 1 Pt 3.47, 6 Dy 3.64-3.65
Dy  0.0000  0.7606  0.5000  2 Pt 2.89
Dy  0.2394  0.2394  0.5000  2 Pt 2.89
Dy  0.7606  0.0000  0.5000  2 Pt 2.89
Te  0.3333  0.6667  0.5000  6 Pr 3.30, 3 Dy 3.32
Te  0.6667  0.3333  0.5000  6 Pr 3.30, 3 Dy 3.32
Pt  0.0000  0.0000  0.0000  6 Dy 2.89

SG = P-62m
volume = 257.4 Å³ per cell
crystal system = hexagonal

=====

--- b ---
Below is Pr3Dy3Te2Pt after structural relaxation, with properties calculated at the PBE level.

Lattice parameters (Å, degrees): 8.6867 8.6867 3.9614 90.00 90.00 120.00
With the nearest neighbours (Å) after each atom.
Atoms (fractional coordinates):
Pr  0.0000  0.7492  0.0000  2 Pt 2.94
Pr  0.2508  0.2508  0.0000  2 Pt 2.94
Pr  0.7492  0.0000  0.0000  2 Pt 2.94
Dy  0.0000  0.4066  0.5000  4 Te 3.30, 1 Pt 3.53, 6 Pr 3.58-3.67
Dy  0.4066  0.0000  0.5000  4 Te 3.30, 1 Pt 3.53, 6 Pr 3.58-3.67
Dy  0.5934  0.5934  0.5000  4 Te 3.30, 1 Pt 3.53, 6 Pr 3.58-3.67
Te  0.3333  0.6667  0.0000  6 Dy 3.30, 3 Pr 3.31
Te  0.6667  0.3333  0.0000  6 Dy 3.30, 3 Pr 3.31
Pt  0.0000  0.0000  0.5000  6 Pr 2.94

SG = P-62m
volume = 258.9 Å³ per cell
crystal system = hexagonal

=====

Result of the stability comparison: b is the least stable of them.